1.
The following is a DFT calculation (GGA-PBE) of a relaxed structure of BaLiSi2.

E_tot	-3.93	eV per atom
energy relative to the elements, uncorrected	-1.05	eV/f.u.
ρ	3.11	g/cm3
Fermi-level density of states	0.395	states/eV per atom

Cell: 4.3699 3.8690 6.6870 Å, 90.00 108.63 90.00°
Space group Pm (No. 6)
Asymmetric unit:
Ba 0.0000 0.0000 0.0000 x1
Li 0.2453 0.5000 0.5001 x1
Si 0.6201 0.5000 0.2449 x1
Si 0.7277 0.0000 0.4666 x1



2.
The following is a DFT calculation (GGA-PBE) of a relaxed structure of BaLiSi.

E_tot	-3.04	eV per atom
energy relative to the elements, uncorrected	0.15	eV/f.u.
ρ	3.30	g/cm3
Fermi-level density of states	1.475	states/eV per atom

Cell: 7.0245 7.0245 7.0245 Å, 90.00 90.00 90.00°
Space group F-43m (No. 216)
Asymmetric unit:
Ba 0.0000 0.0000 0.0000 x4
Li 0.2500 0.2500 0.2500 x4
Si 0.0000 0.0000 0.5000 x4



3.
The following is a DFT calculation (GGA-PBE) of a relaxed structure of BaLiSi.

E_tot	-3.04	eV per atom
energy relative to the elements, uncorrected	0.14	eV/f.u.
ρ	3.18	g/cm3
Fermi-level density of states	0.579	states/eV per atom

Cell: 3.5495 4.4080 5.7475 Å, 90.00 90.00 90.00°
Space group Pmmm (No. 47)
Asymmetric unit:
Ba 0.0000 0.0000 0.0000 x1
Li 0.0000 0.5000 0.5000 x1
Si 0.5000 0.0000 0.5000 x1



4.
The following is a DFT calculation (GGA-PBE) of a relaxed structure of BaLi2Si.

E_tot	-2.62	eV per atom
energy relative to the elements, uncorrected	0.69	eV/f.u.
ρ	2.99	g/cm3
Fermi-level density of states	0.218	states/eV per atom

Cell: 6.3552 7.8479 7.9802 Å, 90.00 90.00 90.00°
Space group Fmmm (No. 69)
Asymmetric unit:
Ba 0.0000 0.0000 0.0000 x4
Li 0.0000 0.2500 0.2500 x8
Si 0.0000 0.0000 0.5000 x4



5.
The following is a DFT calculation (GGA-PBE) of a relaxed structure of BaLi3Si.

E_tot	-2.55	eV per atom
offset from the most stable computed form	206	meV per atom
energy relative to the elements, uncorrected	0.35	eV/f.u.
ρ	2.31	g/cm3
Fermi-level density of states	0.501	states/eV per atom

Cell: 4.7151 4.7151 24.0448 Å, 90.00 90.00 90.00°
Space group I-4m2 (No. 119)
Asymmetric unit:
Ba 0.0000 0.0000 0.0000 x2
Ba 0.0000 0.5000 0.2500 x2
Li 0.0000 0.2655 0.1209 x8
Li 0.0000 0.5000 0.6505 x4
Si 0.0000 0.0000 0.3903 x4



6.
The following is a DFT calculation (GGA-PBE) of a relaxed structure of BaLiSi.

E_tot	-3.16	eV per atom
energy relative to the elements, uncorrected	-0.23	eV/f.u.
ρ	2.68	g/cm3
Fermi-level density of states	0.284	states/eV per atom

Cell: 4.6414 4.6414 11.4274 Å, 90.00 90.00 120.00°
Space group P-6m2 (No. 187)
Asymmetric unit:
Ba 0.0000 0.0000 0.2434 x2
Li 0.3333 0.6667 0.5000 x1
Li 0.6667 0.3333 0.0000 x1
Si 0.6667 0.3333 0.4028 x2



7.
The following is a DFT calculation (GGA-PBE) of a relaxed structure of Ba2Li2Si.

E_tot	-2.66	eV per atom
offset from the most stable computed form	118	meV per atom
energy relative to the elements, uncorrected	-0.19	eV/f.u.
ρ	3.06	g/cm3
Fermi-level density of states	0.718	states/eV per atom

Cell: 4.0460 4.0460 20.9839 Å, 90.00 90.00 90.00°
Space group I4/mmm (No. 139)
Asymmetric unit:
Ba 0.0000 0.0000 0.0888 x4
Li 0.0000 0.5000 0.2500 x4
Si 0.0000 0.0000 0.5000 x2



8.
The following is a DFT calculation (GGA-PBE) of a relaxed structure of BaLi3Si.

E_tot	-1.34	eV per atom
offset from the most stable computed form	1413	meV per atom
energy relative to the elements, uncorrected	6.38	eV/f.u.
ρ	2.07	g/cm3
Fermi-level density of states	1.038	states/eV per atom

Cell: 5.3051 5.3051 5.3051 Å, 90.00 90.00 90.00°
Space group Pm-3m (No. 221)
Asymmetric unit:
Ba 0.0000 0.0000 0.0000 x1
Li 0.0000 0.0000 0.5000 x3
Si 0.5000 0.5000 0.5000 x1